[1]
VASP calculation (PBE-GGA) on a relaxed Ce3PrDy2P6 crystal.

The space group is C2/m (12). The formation energy comes out at -1539 meV/atom.

a b c (Å): 7.071 7.071 7.059
angles (deg): 99.62 99.62 120.01
Each line ends with the local moment (μB).
Atoms (fractional coordinates):
Dy 0.333 0.667 0.000  0.01
Dy 0.667 0.333 0.000  0.01
P 0.257 0.257 0.750  -0.01
P 0.576 0.916 0.748  -0.01
P 0.916 0.576 0.748  -0.01
P 0.084 0.424 0.252  -0.01
P 0.424 0.084 0.252  -0.01
P 0.743 0.743 0.250  -0.01
Ce 0.165 0.835 0.500  0.44
Ce 0.835 0.165 0.500  0.44
Ce 0.500 0.500 0.500  0.44
Pr 0.000 0.000 0.000  0.01


[2]
VASP calculation (PBE-GGA) on a relaxed CeDy2Pu3P6 crystal.

The space group is C2/m (12). The formation energy comes out at -1366 meV/atom.

a b c (Å): 6.973 6.973 6.925
angles (deg): 99.66 99.66 120.00
Each line ends with the local moment (μB).
Atoms (fractional coordinates):
P 0.420 0.085 0.256  -0.09
P 0.580 0.915 0.744  -0.09
P 0.085 0.420 0.256  -0.09
P 0.915 0.580 0.744  -0.09
P 0.250 0.250 0.745  -0.09
P 0.750 0.750 0.255  -0.09
Dy 0.667 0.333 0.000  0.01
Dy 0.333 0.667 0.000  0.01
Ce 0.000 0.000 0.000  0.46
Pu 0.166 0.834 0.500  4.96
Pu 0.500 0.500 0.500  4.96
Pu 0.834 0.166 0.500  4.96


[3]
VASP calculation (PBE-GGA) on a relaxed Ce3DyPu2P6 crystal.

The space group is C2/m (12). The formation energy comes out at -1406 meV/atom.

a b c (Å): 7.011 7.011 6.991
angles (deg): 99.62 99.62 120.01
Each line ends with the local moment (μB).
Atoms (fractional coordinates):
P 0.746 0.746 0.244  -0.07
P 0.417 0.082 0.244  -0.07
P 0.583 0.918 0.756  -0.07
P 0.082 0.417 0.244  -0.07
P 0.254 0.254 0.756  -0.07
P 0.918 0.583 0.756  -0.07
Pu 0.333 0.667 0.000  4.98
Pu 0.667 0.333 0.000  4.98
Dy 0.000 0.000 0.000  0.03
Ce 0.834 0.166 0.500  0.49
Ce 0.166 0.834 0.500  0.49
Ce 0.500 0.500 0.500  0.50


[4]
VASP calculation (PBE-GGA) on a relaxed CeDy2PuP4 crystal.

The space group is P2/m (10). The formation energy comes out at -1471 meV/atom.

a b c (Å): 4.029 6.970 6.962
angles (deg): 109.59 90.00 90.00
Each line ends with the local moment (μB).
Atoms (fractional coordinates):
P 0.000 0.248 0.749  -0.04
P 0.500 0.753 0.752  -0.07
P 0.500 0.247 0.248  -0.07
P 0.000 0.752 0.251  -0.04
Dy 0.500 0.000 0.500  0.02
Dy 0.000 0.500 0.500  0.00
Ce 0.500 0.500 0.000  0.45
Pu 0.000 0.000 0.000  4.97


[5]
VASP calculation (PBE-GGA) on a relaxed Ce3Dy2PuP6 crystal.

The space group is C2/m (12). The formation energy comes out at -1479 meV/atom.

a b c (Å): 7.010 7.010 6.998
angles (deg): 99.61 99.61 120.01
Each line ends with the local moment (μB).
Atoms (fractional coordinates):
Ce 0.833 0.167 0.500  0.47
Ce 0.500 0.500 0.500  0.48
Ce 0.167 0.833 0.500  0.47
P 0.414 0.082 0.246  -0.04
P 0.250 0.250 0.754  -0.04
P 0.918 0.586 0.754  -0.04
P 0.750 0.750 0.246  -0.04
P 0.586 0.918 0.754  -0.04
P 0.082 0.414 0.246  -0.04
Dy 0.333 0.667 0.000  0.03
Dy 0.667 0.333 0.000  0.03
Pu 0.000 0.000 0.000  4.99


[6]
VASP calculation (PBE-GGA) on a relaxed Ce2DyPuP4 crystal.

The space group is P2/m (10). The formation energy comes out at -1444 meV/atom.

a b c (Å): 4.052 7.005 6.995
angles (deg): 109.58 90.00 90.00
Each line ends with the local moment (μB).
Atoms (fractional coordinates):
Dy 0.500 0.500 0.000  -0.02
Ce 0.000 0.500 0.500  -0.49
Ce 0.500 0.000 0.500  -0.48
P 0.000 0.750 0.247  0.04
P 0.000 0.250 0.753  0.04
P 0.500 0.247 0.244  0.07
P 0.500 0.753 0.756  0.07
Pu 0.000 0.000 0.000  -4.99


[7]
VASP calculation (PBE-GGA) on a relaxed CeDyP2Rh5 crystal.

The space group is P4/mmm (123). The formation energy comes out at -636 meV/atom.

a b c (Å): 4.041 4.041 10.752
angles (deg): 90.00 90.00 90.00
Atoms (fractional coordinates):
Rh 0.000 0.500 0.195
Rh 0.000 0.000 0.500
Rh 0.500 0.000 0.195
Rh 0.000 0.500 0.805
Rh 0.500 0.000 0.805
P 0.000 0.000 0.291
P 0.000 0.000 0.709
Dy 0.500 0.500 0.500
Ce 0.000 0.000 0.000


[8]
VASP calculation (PBE-GGA) on a relaxed Ce2DyP3Rh12 crystal.

The space group is R-3m (166). The formation energy comes out at -498 meV/atom.

a b c (Å): 6.765 6.765 6.765
angles (deg): 80.71 80.71 80.71
Atoms (fractional coordinates):
Dy 0.000 0.000 0.000
P 0.000 0.500 0.000
P 0.500 0.000 0.000
P 0.000 0.000 0.500
Rh 0.816 0.816 0.356
Rh 0.912 0.349 0.349
Rh 0.651 0.088 0.651
Rh 0.816 0.356 0.816
Rh 0.349 0.349 0.912
Rh 0.651 0.651 0.088
Rh 0.356 0.816 0.816
Rh 0.184 0.644 0.184
Rh 0.088 0.651 0.651
Rh 0.644 0.184 0.184
Rh 0.349 0.912 0.349
Rh 0.184 0.184 0.644
Ce 0.385 0.385 0.385
Ce 0.615 0.615 0.615


[9]
VASP calculation (PBE-GGA) on a relaxed CeDy2P3Rh12 crystal.

The space group is R-3m (166). The formation energy comes out at -453 meV/atom.

a b c (Å): 6.714 6.714 6.714
angles (deg): 83.21 83.21 83.21
Atoms (fractional coordinates):
Rh 0.179 0.664 0.179
Rh 0.631 0.091 0.631
Rh 0.821 0.336 0.821
Rh 0.631 0.631 0.091
Rh 0.821 0.821 0.336
Rh 0.091 0.631 0.631
Rh 0.369 0.369 0.909
Rh 0.909 0.369 0.369
Rh 0.664 0.179 0.179
Rh 0.336 0.821 0.821
Rh 0.179 0.179 0.664
Rh 0.369 0.909 0.369
P 0.000 0.500 0.000
P 0.000 0.000 0.500
P 0.500 0.000 0.000
Dy 0.374 0.374 0.374
Dy 0.626 0.626 0.626
Ce 0.000 0.000 0.000


[10]
VASP calculation (PBE-GGA) on a relaxed CeDyPS crystal.

The space group is R3m (160). Its formation energy without anion corrections is -1.83 eV per atom.

a b c (Å): 4.013 4.013 6.967
angles (deg): 73.26 73.26 60.00
Each line ends with the local moment (μB).
Atoms (fractional coordinates):
Ce 0.998 0.998 0.005  0.63
S 0.753 0.753 0.742  -0.01
Dy 0.501 0.501 0.496  0.01
P 0.248 0.248 0.257  -0.01


[11]
VASP calculation (PBE-GGA) on a relaxed CeDySbP crystal.

The space group is R3m (160). Its formation energy without anion corrections is -1.29 eV per atom.

a b c (Å): 4.209 4.209 7.426
angles (deg): 73.54 73.54 60.00
Each line ends with the local moment (μB).
Atoms (fractional coordinates):
Ce 0.991 0.991 0.026  0.59
Dy 0.509 0.509 0.474  0.01
Sb 0.751 0.751 0.746  -0.02
P 0.249 0.249 0.254  -0.02


[12]
VASP calculation (PBE-GGA) on a relaxed Ce2DyScP4 crystal.

The space group is P2/m (10). The formation energy comes out at -1508 meV/atom.

a b c (Å): 3.997 6.917 6.882
angles (deg): 109.58 90.00 90.00
Each line ends with the local moment (μB).
Atoms (fractional coordinates):
Sc 0.500 0.500 0.000  0.01
P 0.500 0.746 0.758  -0.01
P 0.000 0.261 0.763  -0.01
P 0.000 0.739 0.237  -0.01
P 0.500 0.254 0.242  -0.01
Dy 0.000 0.000 0.000  0.01
Ce 0.000 0.500 0.500  0.36
Ce 0.500 0.000 0.500  0.49